1.
This record from Alexandria via LeMat-Bulk describes a relaxed TaVNiS4 crystal. The functional is PBE.

Calculated values
* E: -7.009 eV/atom

abc: 6.906 6.969 6.969
angles: 60.97 60.30 60.30
Atoms (fractional coordinates):
S  0.240  0.251  0.751
S  0.758  0.251  0.751
Ni  0.624  0.626  0.126
Ta  0.500  0.000  0.500
S  0.753  0.746  0.749
Ta  0.000  0.000  0.500
Ni  0.376  0.374  0.874
S  0.760  0.749  0.249
V  0.000  0.500  0.500
S  0.753  0.249  0.246
S  0.247  0.254  0.251
S  0.247  0.751  0.754
S  0.242  0.749  0.249
V  0.000  0.000  0.000


2.
This record from Alexandria via LeMat-Bulk describes a relaxed TaNiWS2 crystal. The functional is PBE.

Calculated values
* E: -6.666 eV/atom

abc: 4.637 4.656 4.637
angles: 90.00 90.00 90.00
Atoms (fractional coordinates):
Ta  0.000  0.000  0.000
S  0.500  0.000  0.000
S  0.000  0.000  0.500
Ni  0.000  0.500  0.000
W  0.500  0.500  0.500


3.
This record from Alexandria via LeMat-Bulk describes a relaxed Tb4NiS3 crystal. The functional is PBE.

Calculated values
* E: -6.174 eV/atom

abc: 6.743 6.929 7.900
angles: 90.00 90.00 109.27
Atoms (fractional coordinates):
Tb  0.503  0.244  0.877
S  0.250  0.000  0.621
Tb  0.505  0.757  0.634
S  0.250  0.500  0.383
S  0.750  0.000  0.379
Ni  0.250  0.000  0.120
Tb  0.005  0.757  0.366
Ni  0.750  0.000  0.880
Tb  0.003  0.244  0.123
Tb  0.495  0.243  0.366
S  0.750  0.500  0.617
Tb  0.997  0.756  0.877
Tb  0.995  0.243  0.634
S  0.250  0.500  0.872
Tb  0.497  0.756  0.123
S  0.750  0.500  0.128


4.
This record from Alexandria via LeMat-Bulk describes a relaxed Tb2NiS crystal. The functional is PBE.

Calculated values
* excess energy over the best structure of this formula in the dataset: 0.000 eV per atom
* E: -6.009 eV/atom

abc: 3.962 3.845 11.297
angles: 99.80 90.00 90.00
Atoms (fractional coordinates):
Tb  0.750  0.934  0.867
Tb  0.250  0.066  0.133
Ni  0.750  0.534  0.068
Tb  0.750  0.685  0.370
S  0.250  0.192  0.383
S  0.750  0.808  0.617
Tb  0.250  0.315  0.630
Ni  0.250  0.466  0.932


Here are the calculated E_form (uncorrected) numbers, same order: -5.8; 5.5; -12.7; -4.9 (eV/f.u.).